AcNbCr2O6 | Alexandria | PBE with a Hubbard U | optimized geometry; final energy = -7.97 eV/atom; space group = No. 99
1.0
-1.365 4.889 1.275
-4.236 -2.063 3.375
3.655 -0.152 4.494
O Cr Nb Ac
6 2 1 1
direct
0.769 0.770 0.230 O
0.769 0.230 0.770 O
0.769 0.230 0.230 O
0.769 0.770 0.770 O
0.298 0.000 0.000 O
0.120 0.500 0.500 O
0.888 0.500 0.000 Cr
0.888 0.000 0.500 Cr
0.641 0.000 0.000 Nb
0.535 0.500 0.500 Ac